Entry 1:
This record from the Alexandria database describes a crystal of Na2Mg3 relaxed with PBEsol. The functional is SCAN.

Cell lengths 14.124, 14.124, 14.124 Å; angles 13.31, 13.31, 13.31 degrees
Atoms (fractional coordinates):
1 Na 0.099 0.099 0.099
2 Na 0.901 0.901 0.901
3 Mg 0.303 0.303 0.303
4 Mg 0.500 0.500 0.500
5 Mg 0.697 0.697 0.697

Values from the calculation:
**Energy of formation**: 0.101 eV/atom
**Size of the total moment**: 0.000 μB/cell
**Uncorrected energy**: -4.5689 eV per atom
**Energy above the most stable polymorph in this dataset**: 0.0 kJ/mol of formula units
**Space-group type**: R-3m

***

Entry 2:
This record from the Alexandria database describes a crystal of NaMg5 relaxed with PBEsol. The functional is SCAN.

Cell lengths 5.958, 5.958, 5.958 Å; angles 60.00, 60.00, 60.00 degrees
Atoms (fractional coordinates):
1 Na 0.000 0.000 0.000
2 Mg 0.376 0.376 0.376
3 Mg 0.376 0.376 0.873
4 Mg 0.376 0.873 0.376
5 Mg 0.750 0.750 0.750
6 Mg 0.873 0.376 0.376

Values from the calculation:
**Energy of formation**: 0.068 eV/atom
**Size of the total moment**: 0.305 μB/cell
**Uncorrected energy**: -4.7791 eV per atom
**Space-group type**: F-43m

***

Entry 3:
This record from the Alexandria database describes a crystal of NaMg relaxed with PBEsol. The functional is SCAN.

Cell lengths 3.305, 3.305, 11.460 Å; angles 90.00, 90.00, 120.00 degrees
Atoms (fractional coordinates):
1 Na 0.000 0.000 0.000
2 Na 0.000 0.000 0.500
3 Mg 0.333 0.667 0.250
4 Mg 0.667 0.333 0.750

Values from the calculation:
**Energy of formation**: 0.097 eV/atom
**Size of the total moment**: 0.068 μB/cell
**Uncorrected energy**: -4.4975 eV per atom
**Space-group type**: P6_3/mmc

***

Entry 4:
This record from the Alexandria database describes a crystal of Na3Mg2 relaxed with PBEsol. The functional is SCAN.

Cell lengths 14.656, 14.656, 14.656 Å; angles 13.19, 13.19, 13.19 degrees
Atoms (fractional coordinates):
1 Na 0.000 0.000 0.000
2 Na 0.203 0.203 0.203
3 Na 0.797 0.797 0.797
4 Mg 0.399 0.399 0.399
5 Mg 0.601 0.601 0.601

Values from the calculation:
**Energy of formation**: 0.099 eV/atom
**Size of the total moment**: 0.147 μB/cell
**Uncorrected energy**: -4.4199 eV per atom
**Space-group type**: R-3m

***

Entry 5:
This record from the Alexandria database describes a crystal of NaMgNb2Tc relaxed with PBEsol. The functional is SCAN.

Cell lengths 4.758, 4.758, 5.254 Å; angles 90.00, 90.00, 90.00 degrees
Atoms (fractional coordinates):
1 Na 0.000 0.000 0.000
2 Mg 0.500 0.500 0.000
3 Nb 0.000 0.500 0.500
4 Nb 0.500 0.000 0.500
5 Tc 0.500 0.500 0.500

Values from the calculation:
**Energy of formation**: 0.824 eV/atom
**Size of the total moment**: 0.001 μB/cell
**Uncorrected energy**: -21.2781 eV per atom
**Space-group type**: P4/mmm

***

Entry 6:
This record from the Alexandria database describes a crystal of Na4Mg3P4O15 relaxed with PBEsol. The functional is SCAN.

Cell lengths 18.011, 10.520, 6.528 Å; angles 90.00, 90.00, 90.00 degrees
Atoms (fractional coordinates):
1 Na 0.007 0.024 0.000
2 Na 0.038 0.459 0.143
3 Na 0.107 0.736 0.390
4 Na 0.206 0.252 0.968
5 Na 0.294 0.752 0.468
6 Na 0.393 0.236 0.890
7 Na 0.462 0.959 0.643
8 Na 0.493 0.524 0.500
9 Na 0.507 0.476 0.000
10 Na 0.538 0.041 0.143
11 Na 0.607 0.764 0.390
12 Na 0.706 0.248 0.968
13 Na 0.794 0.748 0.468
14 Na 0.893 0.264 0.890
15 Na 0.962 0.541 0.643
16 Na 0.993 0.976 0.500
17 Mg 0.139 0.007 0.720
18 Mg 0.167 0.496 0.710
19 Mg 0.240 0.756 0.988
20 Mg 0.260 0.256 0.488
21 Mg 0.333 0.996 0.210
22 Mg 0.361 0.507 0.220
23 Mg 0.639 0.493 0.720
24 Mg 0.667 0.004 0.710
25 Mg 0.740 0.744 0.988
26 Mg 0.760 0.244 0.488
27 Mg 0.833 0.504 0.210
28 Mg 0.861 0.993 0.220
29 P 0.051 0.272 0.671
30 P 0.069 0.736 0.860
31 P 0.180 0.012 0.228
32 P 0.209 0.497 0.216
33 P 0.291 0.997 0.716
34 P 0.320 0.512 0.728
35 P 0.431 0.236 0.360
36 P 0.449 0.772 0.171
37 P 0.551 0.228 0.671
38 P 0.569 0.764 0.860
39 P 0.680 0.488 0.228
40 P 0.709 0.003 0.216
41 P 0.791 0.503 0.716
42 P 0.820 0.988 0.728
43 P 0.931 0.264 0.360
44 P 0.949 0.728 0.171
45 O 0.008 0.353 0.822
46 O 0.013 0.301 0.446
47 O 0.045 0.129 0.708
48 O 0.060 0.864 0.749
49 O 0.085 0.628 0.711
50 O 0.124 0.741 0.036
51 O 0.127 0.987 0.408
52 O 0.132 0.313 0.646
53 O 0.136 0.044 0.031
54 O 0.158 0.525 0.399
55 O 0.162 0.464 0.026
56 O 0.232 0.894 0.203
57 O 0.235 0.885 0.755
58 O 0.237 0.123 0.264
59 O 0.238 0.113 0.686
60 O 0.262 0.613 0.186
61 O 0.263 0.623 0.764
62 O 0.265 0.385 0.255
63 O 0.268 0.394 0.703
64 O 0.338 0.964 0.526
65 O 0.342 0.025 0.899
66 O 0.364 0.544 0.531
67 O 0.368 0.813 0.146
68 O 0.373 0.487 0.908
69 O 0.376 0.241 0.536
70 O 0.415 0.128 0.211
71 O 0.440 0.364 0.249
72 O 0.455 0.629 0.208
73 O 0.487 0.801 0.946
74 O 0.492 0.853 0.322
75 O 0.508 0.147 0.822
76 O 0.513 0.199 0.446
77 O 0.545 0.371 0.708
78 O 0.560 0.636 0.749
79 O 0.585 0.872 0.711
80 O 0.624 0.759 0.036
81 O 0.627 0.513 0.408
82 O 0.632 0.187 0.646
83 O 0.636 0.456 0.031
84 O 0.658 0.975 0.399
85 O 0.662 0.036 0.026
86 O 0.732 0.606 0.203
87 O 0.735 0.615 0.755
88 O 0.737 0.377 0.264
89 O 0.738 0.387 0.686
90 O 0.762 0.887 0.186
91 O 0.763 0.877 0.764
92 O 0.765 0.115 0.255
93 O 0.768 0.106 0.703
94 O 0.838 0.536 0.526
95 O 0.842 0.475 0.899
96 O 0.864 0.956 0.531
97 O 0.868 0.687 0.146
98 O 0.873 0.013 0.908
99 O 0.876 0.259 0.536
100 O 0.915 0.372 0.211
101 O 0.940 0.136 0.249
102 O 0.955 0.871 0.208
103 O 0.987 0.699 0.946
104 O 0.992 0.647 0.322

Values from the calculation:
**Size of the total moment**: 0.001 μB/cell
**Uncorrected energy**: -9.1315 eV per atom
**E_form (uncorrected)**: -2.714 eV/atom
**Space-group type**: Pna2_1